*a*
A plane-wave DFT calculation with PBE-GGA was carried out for a relaxed Cs2Rb3Hg crystal.

Cell lengths 8.5251, 18.3818, 12.9762 Å; angles 90.00, 99.39, 90.00 degrees
Space group C2/m (No. 12)
Inequivalent atoms, fractional coordinates:
Cs: 0.0000 0.0000 0.0000 (multiplicity 2)
Cs: 0.0000 0.0000 0.5000 (multiplicity 2)
Cs: 0.0000 0.3355 0.0000 (multiplicity 4)
Rb: 0.0086 0.5000 0.7015 (multiplicity 4)
Rb: 0.1263 0.2091 0.3271 (multiplicity 8)
Hg: 0.0000 0.3575 0.5000 (multiplicity 4)

Computed properties:
**Magnetization**: 0.000 μB/atom

---

*b*
A plane-wave DFT calculation with PBE-GGA was carried out for a relaxed Cs2Rb3Hg crystal.

Cell lengths 7.5169, 7.5169, 9.9549 Å; angles 90.00, 90.00, 120.00 degrees
Space group P-6m2 (No. 187)
Inequivalent atoms, fractional coordinates:
Cs: 0.0000 0.0000 0.2316 (multiplicity 2)
Rb: 0.3333 0.6667 0.5000 (multiplicity 1)
Rb: 0.6667 0.3333 0.0000 (multiplicity 1)
Rb: 0.6667 0.3333 0.5000 (multiplicity 1)
Hg: 0.3333 0.6667 0.0000 (multiplicity 1)

Computed properties:
**Magnetization**: 0.000 μB/atom

---

Quick look at relative energies in kJ/mol of atoms: *a* 0.0; *b* 4.0.

---

*a*
A plane-wave DFT calculation with PBE-GGA was carried out for a relaxed Cs3RbHg8 crystal.

Cell lengths 6.7821, 6.7821, 11.1518 Å; angles 90.00, 90.00, 120.00 degrees
Space group P3m1 (No. 156)
Inequivalent atoms, fractional coordinates:
Cs: 0.0000 0.0000 0.0000 (multiplicity 1)
Cs: 0.0000 0.0000 0.3786 (multiplicity 1)
Cs: 0.3333 0.6667 0.8711 (multiplicity 1)
Rb: 0.3333 0.6667 0.4986 (multiplicity 1)
Hg: 0.0104 0.5052 0.1909 (multiplicity 3)
Hg: 0.3308 0.1654 0.6853 (multiplicity 3)
Hg: 0.6667 0.3333 0.4372 (multiplicity 1)
Hg: 0.6667 0.3333 0.9473 (multiplicity 1)

Computed properties:
**Magnetization**: 0.000 μB/atom

---

*b*
A plane-wave DFT calculation with PBE-GGA was carried out for a relaxed Cs3RbHg8 crystal.

Cell lengths 6.6932, 6.6932, 34.3737 Å; angles 90.00, 90.00, 120.00 degrees
Space group R3m (No. 160, hexagonal axes)
Inequivalent atoms, fractional coordinates:
Cs: 0.0000 0.0000 0.0000 (multiplicity 3)
Cs: 0.0000 0.0000 0.1243 (multiplicity 3)
Cs: 0.0000 0.0000 0.5013 (multiplicity 3)
Rb: 0.0000 0.0000 0.6243 (multiplicity 3)
Hg: 0.0000 0.0000 0.3118 (multiplicity 3)
Hg: 0.0000 0.0000 0.8128 (multiplicity 3)
Hg: 0.0005 0.5003 0.5637 (multiplicity 9)
Hg: 0.1680 0.3360 0.3948 (multiplicity 9)

Computed properties:
**Magnetization**: 0.000 μB/atom

---

Quick look at relative energies in kJ/mol of atoms: *a* 0.0; *b* 1.5.

---

*a*
A plane-wave DFT calculation with PBE-GGA was carried out for a relaxed Cs2Rb4Hg crystal.

Cell lengths 20.1138, 6.6741, 8.8642 Å; angles 90.00, 105.01, 90.00 degrees
Space group C2/m (No. 12)
Inequivalent atoms, fractional coordinates:
Cs: 0.2102 0.0000 0.2268 (multiplicity 4)
Rb: 0.0467 0.5000 0.2469 (multiplicity 4)
Rb: 0.1032 0.0000 0.6914 (multiplicity 4)
Hg: 0.0000 0.0000 0.0000 (multiplicity 2)

Computed properties:
**Magnetization**: 0.000 μB/atom

---

*b*
A plane-wave DFT calculation with PBE-GGA was carried out for a relaxed Cs2Rb4Hg crystal.

Cell lengths 7.1854, 7.1854, 24.4518 Å; angles 90.00, 90.00, 90.00 degrees
Space group I4/mmm (No. 139)
Inequivalent atoms, fractional coordinates:
Cs: 0.0000 0.0000 0.1525 (multiplicity 4)
Rb: 0.0000 0.0000 0.3494 (multiplicity 4)
Rb: 0.0000 0.5000 0.0000 (multiplicity 4)
Hg: 0.0000 0.0000 0.5000 (multiplicity 2)

Computed properties:
**Magnetization**: 0.000 μB/atom

---

Quick look at relative energies in kJ/mol of atoms: *a* 0.0; *b* 1.6.

---

*a*
A plane-wave DFT calculation with PBE-GGA was carried out for a relaxed CsRbHg4 crystal.

Cell lengths 5.5176, 9.2988, 9.5310 Å; angles 90.00, 90.00, 90.00 degrees
Space group Immm (No. 71)
Inequivalent atoms, fractional coordinates:
Cs: 0.0000 0.0000 0.0000 (multiplicity 2)
Rb: 0.0000 0.5000 0.0000 (multiplicity 2)
Hg: 0.0000 0.2409 0.3331 (multiplicity 8)

Computed properties:
**Magnetization**: 0.000 μB/atom

---

*b*
A plane-wave DFT calculation with PBE-GGA was carried out for a relaxed CsRbHg4 crystal.

Cell lengths 9.5216, 9.5216, 9.5216 Å; angles 90.00, 90.00, 90.00 degrees
Space group F-43m (No. 216)
Inequivalent atoms, fractional coordinates:
Cs: 0.0000 0.0000 0.0000 (multiplicity 4)
Rb: 0.2500 0.2500 0.2500 (multiplicity 4)
Hg: 0.1242 0.1242 0.6242 (multiplicity 16)

Computed properties:
**Magnetization**: 0.000 μB/atom

---

Quick look at relative energies in kJ/mol of atoms: *a* 0.0; *b* 4.3.

---

*a*
A plane-wave DFT calculation with PBE-GGA was carried out for a relaxed CsRb2Hg4 crystal.

Cell lengths 21.1086, 7.2298, 8.0927 Å; angles 90.00, 101.37, 90.00 degrees
Space group C2/c (No. 15)
Inequivalent atoms, fractional coordinates:
Cs: 0.0000 0.2269 0.2500 (multiplicity 4)
Rb: 0.1929 0.0795 0.1540 (multiplicity 8)
Hg: 0.0761 0.2752 0.7658 (multiplicity 8)
Hg: 0.1564 0.4344 0.5070 (multiplicity 8)

Computed properties:
**Magnetization**: 0.000 μB/atom

---

*b*
A plane-wave DFT calculation with PBE-GGA was carried out for a relaxed CsRb2Hg4 crystal.

Cell lengths 6.6661, 6.6661, 19.3204 Å; angles 90.00, 90.00, 90.00 degrees
Space group I4/mmm (No. 139)
Inequivalent atoms, fractional coordinates:
Cs: 0.0000 0.0000 0.0000 (multiplicity 2)
Rb: 0.0000 0.0000 0.3799 (multiplicity 4)
Hg: 0.0000 0.0000 0.1866 (multiplicity 4)
Hg: 0.0000 0.5000 0.0000 (multiplicity 4)

Computed properties:
**Magnetization**: 0.000 μB/atom

---

Quick look at relative energies in kJ/mol of atoms: *a* 0.0; *b* 18.5.

---

*a*
A plane-wave DFT calculation with PBE-GGA was carried out for a relaxed CsRb8Hg2 crystal.

Cell lengths 7.4334, 14.5063, 15.0953 Å; angles 90.00, 90.00, 90.00 degrees
Space group Immm (No. 71)
Inequivalent atoms, fractional coordinates:
Cs: 0.0000 0.0000 0.0000 (multiplicity 2)
Rb: 0.0000 0.1668 0.3179 (multiplicity 8)
Rb: 0.0000 0.3189 0.0000 (multiplicity 4)
Rb: 0.0000 0.5000 0.3025 (multiplicity 4)
Hg: 0.0000 0.3441 0.5000 (multiplicity 4)

Computed properties:
**Magnetization**: 0.000 μB/atom

---

*b*
A plane-wave DFT calculation with PBE-GGA was carried out for a relaxed CsRb8Hg2 crystal.

Cell lengths 11.9993, 17.9283, 7.6466 Å; angles 90.00, 101.51, 90.00 degrees
Space group C2/m (No. 12)
Inequivalent atoms, fractional coordinates:
Cs: 0.0000 0.0000 0.0000 (multiplicity 2)
Rb: 0.0000 0.2656 0.0000 (multiplicity 4)
Rb: 0.0935 0.5000 0.7743 (multiplicity 4)
Rb: 0.2004 0.1385 0.5818 (multiplicity 8)
Hg: 0.0000 0.3148 0.5000 (multiplicity 4)

Computed properties:
**Magnetization**: 0.000 μB/atom

---

Quick look at relative energies in kJ/mol of atoms: *a* 1.5; *b* 0.0.